(1)
Here is an optimized crystal structure of AsPtSe4 from Alexandria via LeMat-Bulk. Energies are from GGA-PBE.

Lattice parameters (Å, degrees): 3.6859 7.4385 6.3813 115.79 90.00 104.23
Atoms (fractional coordinates):
1 Se 0.6099 0.2215 0.9587
2 Se 0.8847 0.7676 0.5623
3 Se 0.3901 0.7785 0.0413
4 Se 0.1153 0.2324 0.4377
5 As 0.5000 0.0000 0.5000
6 Pt 0.0000 0.0000 0.0000

Its space-group type is P-1, No. 2. As for the volume: 25.26 A^3/atom. Its total energy is -4.311 eV per atom. As for the uncorrected formation energy: -0.206 eV per atom.

=====

(2)
Here is an optimized crystal structure of ZnNiP2 from Alexandria via LeMat-Bulk. Energies are from GGA-PBE.

Lattice parameters (Å, degrees): 9.3684 9.3684 9.3684 17.02 17.02 17.02
Last column: magnetic moment on the atom in μB.
Atoms (fractional coordinates):
1 Ni 0.7498 0.7498 0.7498  0.01
2 P 0.0263 0.0263 0.0263  0.00
3 P 0.2330 0.2330 0.2330  0.16
4 Zn 0.4910 0.4910 0.4910  0.01

Its space-group type is R3m, No. 160. As for the volume: 15.36 A^3/atom. Its total energy is -4.288 eV per atom. As for the energy of formation: 181 meV/atom.

=====

(3)
Here is an optimized crystal structure of Al2InTe3 from Alexandria via LeMat-Bulk. Energies are from GGA-PBE.

Lattice parameters (Å, degrees): 4.9044 9.1734 10.0168 97.78 104.17 90.00
Atoms (fractional coordinates):
1 Al 0.2938 0.6201 0.5875
2 Al 0.7062 0.3799 0.4125
3 Al 0.0517 0.1716 0.1033
4 Al 0.9483 0.8284 0.8967
5 Te 0.2587 0.3195 0.5175
6 Te 0.9106 0.0978 0.8212
7 Te 0.4313 0.6926 0.8626
8 Te 0.5687 0.3074 0.1374
9 Te 0.0894 0.9022 0.1788
10 Te 0.7413 0.6805 0.4825
11 In 0.3154 0.9861 0.6309
12 In 0.6846 0.0139 0.3691

Its space-group type is C2/m, No. 12. As for the volume: 36.06 A^3/atom. Its total energy is -3.523 eV per atom. As for the uncorrected formation energy: -0.249 eV per atom.

=====

(4)
Here is an optimized crystal structure of UP2IrPd2 from Alexandria via LeMat-Bulk. Energies are from GGA-PBE.

Lattice parameters (Å, degrees): 4.1877 6.9821 6.8291 90.00 90.00 90.00
Last column: magnetic moment on the atom in μB.
Atoms (fractional coordinates):
1 Pd 0.5000 0.0516 0.0963  0.01
2 Pd 0.0000 0.8399 0.8847  0.03
3 Pd 0.5000 0.5516 0.9037  0.01
4 Pd 0.0000 0.3399 0.1153  0.03
5 P 0.0000 0.6692 0.1714  0.01
6 P 0.0000 0.1692 0.8286  0.01
7 P 0.5000 0.7991 0.6447  -0.02
8 P 0.5000 0.2991 0.3553  -0.02
9 U 0.0000 0.9975 0.4256  1.91
10 U 0.0000 0.4975 0.5744  1.91
11 Ir 0.5000 0.6882 0.3129  -0.05
12 Ir 0.5000 0.1882 0.6871  -0.05

Its space-group type is Pmc2_1, No. 26. As for the volume: 16.64 A^3/atom. Its total energy is -7.466 eV per atom. As for the energy of formation: -573 meV/atom.

=====

(5)
Here is an optimized crystal structure of MnTl2I6 from Alexandria via LeMat-Bulk. Energies are from GGA-PBE.

Lattice parameters (Å, degrees): 7.6500 7.6500 13.6310 90.00 90.00 90.00
Last column: magnetic moment on the atom in μB.
Atoms (fractional coordinates):
1 I 0.6768 0.6768 0.6413  -0.06
2 I 0.2515 0.2515 0.0000  -0.05
3 I 0.8232 0.1768 0.1413  -0.06
4 I 0.7485 0.7485 0.0000  -0.05
5 I 0.8232 0.1768 0.8587  -0.06
6 I 0.2485 0.7515 0.5000  -0.05
7 I 0.3232 0.3232 0.3587  -0.06
8 I 0.1768 0.8232 0.8587  -0.06
9 I 0.3232 0.3232 0.6413  -0.06
10 I 0.6768 0.6768 0.3587  -0.06
11 I 0.1768 0.8232 0.1413  -0.06
12 I 0.7515 0.2485 0.5000  -0.05
13 Tl 0.5000 0.5000 0.8436  -0.02
14 Tl 0.0000 0.0000 0.3436  -0.02
15 Tl 0.5000 0.5000 0.1564  -0.02
16 Tl 0.0000 0.0000 0.6564  -0.02
17 Mn 0.5000 0.5000 0.5000  3.27
18 Mn 0.0000 0.0000 0.0000  3.27

Its space-group type is P4_2/mnm, No. 136. As for the volume: 44.32 A^3/atom. Its total energy is -2.947 eV per atom. As for the uncorrected formation energy: -0.369 eV per atom.

=====

(6)
Here is an optimized crystal structure of Tb2Pm3Dy4 from Alexandria via LeMat-Bulk. Energies are from GGA-PBE.

Lattice parameters (Å, degrees): 5.0692 8.0074 14.7819 144.46 90.00 108.45
Atoms (fractional coordinates):
1 Dy 0.8896 0.7791 0.6675
2 Dy 0.6671 0.3343 0.0001
3 Dy 0.1104 0.2209 0.3325
4 Dy 0.3329 0.6657 0.9999
5 Pm 0.5540 0.1080 0.6657
6 Pm 0.4460 0.8920 0.3343
7 Pm 0.0000 0.0000 0.0000
8 Tb 0.2235 0.4470 0.6672
9 Tb 0.7765 0.5530 0.3328

Its space-group type is C2/m, No. 12. As for the volume: 32.51 A^3/atom. Its total energy is -4.641 eV per atom. As for the energy of formation: 17 meV/atom.

=====

(7)
Here is an optimized crystal structure of PuAl12Cu6 from Alexandria via LeMat-Bulk. Energies are from GGA-PBE.

Lattice parameters (Å, degrees): 7.0862 7.0862 7.0862 105.04 105.04 105.04
Last column: magnetic moment on the atom in μB.
Atoms (fractional coordinates):
1 Al 0.5000 0.8827 0.1173  0.00
2 Al 0.8827 0.5000 0.1173  0.00
3 Al 0.4107 0.4107 0.1561  0.00
4 Al 0.5000 0.1173 0.8827  0.00
5 Al 0.1173 0.8827 0.5000  0.00
6 Al 0.1173 0.5000 0.8827  0.00
7 Al 0.8827 0.1173 0.5000  0.00
8 Al 0.5893 0.8439 0.5893  0.00
9 Al 0.4107 0.1561 0.4107  0.00
10 Al 0.1561 0.4107 0.4107  0.00
11 Al 0.8439 0.5893 0.5893  0.00
12 Al 0.5893 0.5893 0.8439  0.00
13 Cu 0.7317 0.2915 0.7317  -0.01
14 Cu 0.2683 0.2683 0.7085  -0.01
15 Cu 0.7085 0.2683 0.2683  -0.01
16 Cu 0.7317 0.7317 0.2915  -0.01
17 Cu 0.2915 0.7317 0.7317  -0.01
18 Cu 0.2683 0.7085 0.2683  -0.01
19 Pu 0.0000 0.0000 0.0000  -5.52

Its space-group type is R-3m, No. 166. As for the volume: 16.36 A^3/atom. Its total energy is -4.498 eV per atom. As for the energy of formation: -87 meV/atom.

=====

(8)
Here is an optimized crystal structure of Sr2Be3 from Alexandria via LeMat-Bulk. Energies are from GGA-PBE.

Lattice parameters (Å, degrees): 3.8552 3.8552 9.0249 90.00 90.00 120.00
Atoms (fractional coordinates):
1 Be 0.0000 0.0000 0.0000
2 Be 0.3333 0.6667 0.0257
3 Be 0.6667 0.3333 0.9743
4 Sr 0.3333 0.6667 0.7022
5 Sr 0.6667 0.3333 0.2978

Its space-group type is P-3m1, No. 164. As for the volume: 23.23 A^3/atom. Its total energy is -2.775 eV per atom. As for the energy of formation: 134 meV/atom.

=====

Copy entry 3 word for word.
Here is an optimized crystal structure of Al2InTe3 from Alexandria via LeMat-Bulk. Energies are from GGA-PBE.

Lattice parameters (Å, degrees): 4.9044 9.1734 10.0168 97.78 104.17 90.00
Atoms (fractional coordinates):
1 Al 0.2938 0.6201 0.5875
2 Al 0.7062 0.3799 0.4125
3 Al 0.0517 0.1716 0.1033
4 Al 0.9483 0.8284 0.8967
5 Te 0.2587 0.3195 0.5175
6 Te 0.9106 0.0978 0.8212
7 Te 0.4313 0.6926 0.8626
8 Te 0.5687 0.3074 0.1374
9 Te 0.0894 0.9022 0.1788
10 Te 0.7413 0.6805 0.4825
11 In 0.3154 0.9861 0.6309
12 In 0.6846 0.0139 0.3691

Its space-group type is C2/m, No. 12. As for the volume: 36.06 A^3/atom. Its total energy is -3.523 eV per atom. As for the uncorrected formation energy: -0.249 eV per atom.